GGA-PBEsol IrWO3, optimized geometry; calculated total energy = -8.24 eV/atom; total magnetic moment = 2.0 μB/cell; energy relative to the elements, uncorrected = -367 meV per atom
1.0
3.885 0.000 0.000
0.000 3.885 0.000
0.000 0.000 3.885
O W Ir
3 1 1
Direct
0.000 0.500 0.000
0.500 0.000 0.000
0.000 0.000 0.500
0.000 0.000 0.000
0.500 0.500 0.500

***

GGA-PBEsol Be4AlZn, optimized geometry; calculated total energy = -3.53 eV/atom; total magnetic moment = 0.0 μB/cell; calculated formation energy = 0.08 eV/atom
1.0
-0.723 -2.656 -3.439
2.382 -3.674 -0.484
-1.876 -3.938 0.614
Be Al Zn
4 1 1
Direct
0.374 0.374 0.374
0.877 0.374 0.374
0.374 0.374 0.877
0.374 0.877 0.374
0.000 0.000 0.000
0.750 0.750 0.750

***

GGA-PBEsol YTaCo2, optimized geometry; calculated total energy = -8.88 eV/atom; total magnetic moment = 0.0 μB/cell; calculated formation energy = -0.17 eV/atom
1.0
3.056 0.000 0.000
0.000 3.056 0.019
0.000 -0.044 6.758
Ta Co Y
1 2 1
Direct
0.500 0.500 0.500
0.000 0.000 0.699
0.000 0.000 0.301
0.500 0.500 0.000

***

GGA-PBEsol BaYRh2, optimized geometry; calculated total energy = -6.45 eV/atom; total magnetic moment = 0.0 μB/cell; calculated formation energy = -0.13 eV/atom
1.0
-1.243 -1.441 -3.028
3.693 -1.958 -0.584
-3.498 -3.620 5.271
Rh Y Ba
2 1 1
Direct
0.669 0.169 0.338
0.025 0.025 0.050
0.525 0.525 0.050
0.281 0.781 0.562

***

GGA-PBEsol TaPS3, optimized geometry; calculated total energy = -6.06 eV/atom; total magnetic moment = 1.9 μB/cell; energy relative to the elements, uncorrected = 244 meV per atom
1.0
-2.102 -0.134 -4.240
2.339 -3.984 -1.034
-3.539 -2.554 1.835
S Ta P
3 1 1
Direct
0.500 0.000 0.000
0.000 0.500 0.000
0.000 0.000 0.500
0.000 0.000 0.000
0.500 0.500 0.500

***

GGA-PBEsol CuReSb3, optimized geometry; calculated total energy = -5.28 eV/atom; total magnetic moment = 0.0 μB/cell; energy relative to the elements, uncorrected = 989 meV per atom
1.0
-1.910 3.862 2.732
-4.451 -2.465 0.373
1.602 -2.244 4.292
Cu Sb Re
1 3 1
Direct
0.500 0.500 0.500
0.000 0.000 0.500
0.500 0.000 0.000
0.000 0.500 0.000
0.000 0.000 0.000

***

GGA-PBEsol MgRu2Se, optimized geometry; calculated total energy = -6.42 eV/atom; total magnetic moment = 0.0 μB/cell; energy relative to the elements, uncorrected = 54 meV per atom
1.0
3.031 0.000 0.000
0.000 3.031 0.000
0.000 0.000 6.278
Ru Mg Se
2 1 1
Direct
0.000 0.000 0.229
0.000 0.000 0.771
0.500 0.500 0.500
0.500 0.500 0.000

***

GGA-PBEsol ZnCo2Cl, optimized geometry; calculated total energy = -4.68 eV/atom; total magnetic moment = 3.1 μB/cell; energy relative to the elements, uncorrected = 86 meV per atom
1.0
-0.584 -1.332 -2.422
0.056 -2.521 1.372
-6.696 0.568 1.302
Zn Cl Co
1 1 2
Direct
0.000 0.251 0.449
0.500 0.249 0.777
0.500 0.750 0.233
0.000 0.250 0.041

***

> What is the formula in the eighth record?

ZnCo2Cl

***

> Which formula does entry 5 have?

TaPS3